i | DFT (PBE-GGA) results for a relaxed structure of MoIr2Pt.

Computed properties:
V ... 16.9 Å³ per atom
SG ... I-42d (122)
DOS(E_F) ... 0.24 states/eV per atom

Geometry as POSCAR:
```
MoIr2Pt
1.0
7.0664 0.0000 0.0000
0.0000 7.0664 0.0000
3.5332 3.5332 2.7152
Ir Pt Mo
4 2 2
direct
0.1570 0.6250 0.2500
0.5930 0.1250 0.2500
0.3750 0.4070 0.7500
0.8750 0.8430 0.7500
0.7500 0.2500 0.5000
0.0000 0.0000 0.0000
0.2500 0.7500 0.5000
0.5000 0.5000 0.0000
```

ii | DFT (PBE-GGA) results for a relaxed structure of MoIr2Pt.

Computed properties:
V ... 15.4 Å³ per atom
SG ... Fm-3m (225)
DOS(E_F) ... 0.79 states/eV per atom

Geometry as POSCAR:
```
MoIr2Pt
1.0
0.0000 3.1352 3.1352
3.1352 0.0000 3.1352
3.1352 3.1352 0.0000
Ir Mo Pt
2 1 1
direct
0.2500 0.2500 0.2500
0.7500 0.7500 0.7500
0.0000 0.0000 0.0000
0.5000 0.5000 0.5000
```

iii | DFT (PBE-GGA) results for a relaxed structure of MoIr2Pt.

Computed properties:
V ... 15.0 Å³ per atom
SG ... Pmm2 (25)
DOS(E_F) ... 1.08 states/eV per atom

Geometry as POSCAR:
```
MoIr2Pt
1.0
-2.2548 -1.2994 0.8741
1.6243 -3.4876 -0.9944
2.1898 -0.4148 5.0317
Pt Ir Mo
1 2 1
direct
0.5000 0.5000 0.7494
0.0000 0.0000 0.0066
0.5000 0.5000 0.2510
0.0000 0.0000 0.4930
```

Energies relative to the most stable structure are i 0.531; ii 0.341; iii 0.000, reported in eV/atom.

i | DFT (PBE-GGA) results for a relaxed structure of MoIr2Pt.

Computed properties:
V ... 15.5 Å³ per atom
SG ... P4mm (99)
DOS(E_F) ... 1.12 states/eV per atom

Geometry as POSCAR:
```
MoIr2Pt
1.0
-1.9321 2.3766 -1.4197
-2.4623 -0.6839 2.2059
2.0388 3.7027 3.4236
Mo Ir Pt
1 2 1
direct
0.0000 0.0000 0.4860
0.5000 0.5000 0.2466
0.0000 0.0000 0.0136
0.5000 0.5000 0.7539
```

ii | DFT (PBE-GGA) results for a relaxed structure of MoIr2Pt.

Computed properties:
V ... 15.4 Å³ per atom
SG ... P2/m (10)
DOS(E_F) ... 0.95 states/eV per atom

Geometry as POSCAR:
```
MoIr2Pt
1.0
4.6547 0.0000 0.0000
0.0000 2.7238 0.0071
0.0000 0.1199 4.8457
Ir Mo Pt
2 1 1
direct
0.0000 0.5380 0.5059
0.0000 0.9620 0.9941
0.5000 0.2500 0.2500
0.5000 0.7500 0.7500
```

Energies relative to the most stable structure are i 0.000; ii 0.014, reported in eV/atom.

i | DFT (PBE-GGA) results for a relaxed structure of MoIr2Pt.

Computed properties:
V ... 15.0 Å³ per atom
SG ... I-4m2 (119)
DOS(E_F) ... 1.28 states/eV per atom

Geometry as POSCAR:
```
MoIr2Pt
1.0
-0.3265 -0.1757 4.8043
-0.4500 -4.5647 1.4765
3.1289 2.1578 -2.9619
Pt Ir Mo
1 2 1
direct
0.2500 0.7500 0.5000
0.0000 0.0000 0.0000
0.7500 0.2500 0.5000
0.5000 0.5000 0.0000
```

ii | DFT (PBE-GGA) results for a relaxed structure of MoIr2Pt.

Computed properties:
V ... 15.0 Å³ per atom
SG ... Cm (8)
DOS(E_F) ... 1.09 states/eV per atom

Geometry as POSCAR:
```
MoIr2Pt
1.0
-4.3704 0.5708 1.9460
-4.7597 0.0718 -0.7437
-1.0206 -4.5685 0.9954
Ir Mo Pt
2 1 1
direct
0.0043 0.0043 0.9931
0.7490 0.7490 0.7505
0.4974 0.4974 0.5054
0.2494 0.2494 0.2510
```

Energies relative to the most stable structure are i 0.000; ii 0.052, reported in eV/atom.

i | DFT (PBE-GGA) results for a relaxed structure of MoIr2Pt.

Computed properties:
V ... 15.0 Å³ per atom
SG ... P4mm (99)
DOS(E_F) ... 1.30 states/eV per atom

Geometry as POSCAR:
```
MoIr2Pt
1.0
2.7407 0.0031 0.0000
-0.0030 2.7407 0.0000
0.0000 0.0000 8.0040
Ir Pt Mo
2 1 1
direct
0.5000 0.5000 0.2486
0.0000 0.0000 0.0077
0.5000 0.5000 0.7474
0.0000 0.0000 0.4962
```

ii | DFT (PBE-GGA) results for a relaxed structure of MoIr2Pt.

Computed properties:
V ... 15.0 Å³ per atom
SG ... I4/mmm (139)
DOS(E_F) ... 0.89 states/eV per atom

Geometry as POSCAR:
```
MoIr2Pt
1.0
4.7664 -0.0027 -0.0031
1.5105 4.5208 0.0031
-3.1367 -2.2614 2.7845
Ir Pt Mo
2 1 1
direct
0.5000 0.5000 0.0000
0.0000 0.0000 0.0000
0.2500 0.7500 0.5000
0.7500 0.2500 0.5000
```

Energies relative to the most stable structure are i 0.095; ii 0.000, reported in eV/atom.